[1]
The following is a PBE calculation of a geometry-optimized Dy4GaSiSe2 structure, from Alexandria via LeMat-Bulk.

Summary:
Mass density, g cm⁻³: 7.64
Formation energy without anion corrections, eV/atom: -1.220
Uncorrected energy, eV/atom: -5.45

a b c (Å): 5.807 5.807 7.136
angles (deg): 114.01 114.01 90.00
Fractional positions:
Si  0.750  0.250  0.500
Ga  0.500  0.500  0.000
Dy  0.998  0.498  0.995
Dy  0.502  0.002  0.005
Dy  0.753  0.753  0.505
Dy  0.247  0.247  0.495
Se  0.250  0.750  0.500
Se  0.000  0.000  0.000


[2]
The following is a PBE calculation of a geometry-optimized AcTbNd2Sm4 structure, from Alexandria via LeMat-Bulk.

Summary:
Mass density, g cm⁻³: 7.37
Uncorrected energy, eV/atom: -4.25

a b c (Å): 9.727 9.727 12.050
angles (deg): 128.21 128.21 88.51
Fractional positions:
Sm  0.763  0.779  0.525
Sm  0.740  0.231  0.986
Sm  0.269  0.760  0.514
Sm  0.237  0.221  0.475
Sm  0.731  0.240  0.486
Sm  0.260  0.769  0.014
Sm  0.279  0.263  0.025
Sm  0.721  0.737  0.975
Tb  0.500  0.500  0.500
Tb  0.000  0.000  0.000
Nd  0.500  0.500  0.000
Nd  0.500  0.000  0.000
Nd  0.000  0.000  0.500
Nd  0.500  0.000  0.500
Ac  0.000  0.500  0.500
Ac  0.000  0.500  0.000


[3]
The following is a PBE calculation of a geometry-optimized Ho2ThNb structure, from Alexandria via LeMat-Bulk.

Summary:
Mass density, g cm⁻³: 9.81
Uncorrected energy, eV/atom: -6.12

a b c (Å): 3.319 3.319 11.771
angles (deg): 81.89 81.89 60.00
Fractional positions:
Ho  0.917  0.917  0.250
Ho  0.083  0.083  0.750
Nb  0.000  0.000  0.000
Th  0.500  0.500  0.500